(1)
VASP calculation (PBE) on a geometry-optimized Li6Cd2In structure.

```
Li6Cd2In
1.0
0.0445 5.4252 -0.8185
0.2986 -1.2748 -5.3289
-5.4676 -0.3839 0.2627
Li In Cd
6 1 2
direct
0.5000 0.8340 0.1660
0.8341 0.5000 0.1662
0.1659 0.8338 0.5000
0.8341 0.1662 0.5000
0.5000 0.1660 0.8340
0.1659 0.5000 0.8338
0.0000 0.0000 0.0000
0.3349 0.3350 0.3350
0.6651 0.6650 0.6650
```

Space-group type: R-3m (166)
Crystal system: trigonal


(2)
VASP calculation (PBE) on a geometry-optimized Li2CdIn4 structure.

```
Li2CdIn4
1.0
5.5089 0.0000 0.0000
0.0000 5.5089 0.0000
-2.7545 -2.7545 6.0906
In Li Cd
4 2 1
direct
0.5000 0.0000 0.0000
0.7500 0.2500 0.5000
0.2500 0.7500 0.5000
0.0000 0.5000 0.0000
0.6311 0.6311 0.2621
0.3689 0.3689 0.7379
0.0000 0.0000 0.0000
```

Space-group type: I4/mmm (139)
ΔE to the lowest computed polymorph: 100 meV/atom
Crystal system: tetragonal


(3)
VASP calculation (PBE) on a geometry-optimized Li4CdIn structure.

```
Li4CdIn
1.0
-3.9297 0.7952 -2.3077
-0.6257 -5.7342 -0.9105
-4.4900 -3.5058 6.4379
Li In Cd
8 2 2
direct
0.7500 0.5407 0.9159
0.7500 0.6993 0.5827
0.2500 0.7820 0.4173
0.2500 0.3007 0.4173
0.7500 0.0434 0.9159
0.2500 0.9566 0.0841
0.7500 0.2180 0.5827
0.2500 0.4593 0.0841
0.2500 0.3717 0.7565
0.7500 0.6283 0.2435
0.7500 0.1209 0.2582
0.2500 0.8791 0.7418
```

Space-group type: Cmcm (63)
ΔE to the lowest computed polymorph: 0 meV/atom
Crystal system: orthorhombic


| no. | total magnetization (μB per atom) | E_tot (Ha/atom) | formation energy from the elements (eV per atom) |
| --- | --- | --- | --- |
| 1 | 0.00 | -0.074 | -0.23 |
| 2 | 0.00 | -0.080 | 0.07 |
| 3 | 0.00 | -0.078 | -0.24 |